Record 1
{"formula": "LaHf2Tl", "functional": "PBE", "state": "relaxed", "lattice_angstrom": [[7.371, 0.000, 0.000], [0.000, 7.371, 0.000], [0.000, 0.000, 7.371]], "species": ["La", "La", "La", "La", "Hf", "Hf", "Hf", "Hf", "Hf", "Hf", "Hf", "Hf", "Tl", "Tl", "Tl", "Tl"], "frac_coords": [[0.000, 0.000, 0.000], [0.000, 0.500, 0.500], [0.500, 0.000, 0.500], [0.500, 0.500, 0.000], [0.000, 0.000, 0.500], [0.000, 0.500, 0.000], [0.250, 0.250, 0.250], [0.250, 0.750, 0.750], [0.500, 0.000, 0.000], [0.500, 0.500, 0.500], [0.750, 0.250, 0.750], [0.750, 0.750, 0.250], [0.250, 0.250, 0.750], [0.250, 0.750, 0.250], [0.750, 0.250, 0.250], [0.750, 0.750, 0.750]], "magnetic_moment_mub_per_cell": 0.0}



Record 2
{"formula": "TmNbN2O", "functional": "PBE", "state": "relaxed", "lattice_angstrom": [[5.562, 0.000, 0.000], [2.737, 4.866, 0.000], [2.773, 1.609, 9.142]], "species": ["Tm", "Tm", "Tm", "Tm", "Nb", "Nb", "Nb", "Nb", "N", "N", "N", "N", "N", "N", "N", "N", "O", "O", "O", "O"], "frac_coords": [[0.000, 0.000, 0.000], [0.171, 0.249, 0.269], [0.491, 0.489, 0.530], [0.681, 0.764, 0.762], [0.109, 0.125, 0.630], [0.339, 0.354, 0.907], [0.582, 0.630, 0.153], [0.863, 0.854, 0.392], [0.084, 0.500, 0.506], [0.150, 0.864, 0.217], [0.255, 0.177, 0.786], [0.482, 0.899, 0.546], [0.568, 0.017, 0.021], [0.716, 0.646, 0.309], [0.899, 0.108, 0.488], [0.984, 0.413, 0.048], [0.051, 0.796, 0.779], [0.422, 0.637, 0.964], [0.561, 0.265, 0.254], [0.666, 0.388, 0.733]], "magnetic_moment_mub_per_cell": 0.0}



Record 3
{"formula": "GdHfBe2Ge2", "functional": "PBE", "state": "relaxed", "lattice_angstrom": [[3.836, 0.000, 0.000], [-1.918, 3.322, 0.000], [0.000, 0.000, 7.759]], "species": ["Gd", "Hf", "Be", "Be", "Ge", "Ge"], "frac_coords": [[0.000, 0.000, 0.000], [0.000, 0.000, 0.500], [0.333, 0.667, 0.277], [0.667, 0.333, 0.723], [0.333, 0.667, 0.736], [0.667, 0.333, 0.264]], "magnetic_moment_mub_per_cell": 0.0}



Record 4
{"formula": "Gd4Cu2Cl", "functional": "PBE", "state": "relaxed", "lattice_angstrom": [[10.082, 0.000, 0.000], [0.000, 7.292, 0.000], [-0.305, 0.000, 4.884]], "species": ["Gd", "Gd", "Gd", "Gd", "Gd", "Gd", "Gd", "Gd", "Cu", "Cu", "Cu", "Cu", "Cl", "Cl"], "frac_coords": [[0.130, 0.236, 0.244], [0.130, 0.764, 0.244], [0.370, 0.264, 0.756], [0.370, 0.736, 0.756], [0.630, 0.264, 0.244], [0.630, 0.736, 0.244], [0.870, 0.236, 0.756], [0.870, 0.764, 0.756], [0.137, 0.000, 0.739], [0.363, 0.500, 0.261], [0.637, 0.500, 0.739], [0.863, 0.000, 0.261], [0.000, 0.500, 0.500], [0.500, 0.000, 0.500]], "magnetic_moment_mub_per_cell": 0.3}



Record 5
{"formula": "ScCoSnPt", "functional": "PBE", "state": "relaxed", "lattice_angstrom": [[6.488, 0.000, 0.000], [0.000, 6.488, 0.000], [0.000, 0.000, 6.488]], "species": ["Sc", "Sc", "Sc", "Sc", "Co", "Co", "Co", "Co", "Sn", "Sn", "Sn", "Sn", "Pt", "Pt", "Pt", "Pt"], "frac_coords": [[0.000, 0.000, 0.000], [0.000, 0.500, 0.500], [0.500, 0.000, 0.500], [0.500, 0.500, 0.000], [0.000, 0.000, 0.500], [0.000, 0.500, 0.000], [0.500, 0.000, 0.000], [0.500, 0.500, 0.500], [0.250, 0.250, 0.250], [0.250, 0.750, 0.750], [0.750, 0.250, 0.750], [0.750, 0.750, 0.250], [0.250, 0.250, 0.750], [0.250, 0.750, 0.250], [0.750, 0.250, 0.250], [0.750, 0.750, 0.750]], "e_above_lowest_polymorph_mev_per_atom": 279, "magnetic_moment_mub_per_cell": 0.0}



Record 6
{"formula": "ZnCu2SbS4", "functional": "PBE", "state": "relaxed", "lattice_angstrom": [[5.507, 0.000, 0.000], [0.000, 5.507, 0.000], [0.000, 0.000, 10.981]], "species": ["Zn", "Zn", "Cu", "Cu", "Cu", "Cu", "Sb", "Sb", "S", "S", "S", "S", "S", "S", "S", "S"], "frac_coords": [[0.000, 0.000, 0.000], [0.500, 0.500, 0.500], [0.000, 0.500, 0.250], [0.000, 0.500, 0.750], [0.500, 0.000, 0.250], [0.500, 0.000, 0.750], [0.000, 0.000, 0.500], [0.500, 0.500, 0.000], [0.233, 0.233, 0.138], [0.233, 0.767, 0.862], [0.267, 0.267, 0.638], [0.267, 0.733, 0.362], [0.733, 0.267, 0.362], [0.733, 0.733, 0.638], [0.767, 0.233, 0.862], [0.767, 0.767, 0.138]]}



Record 7
{"formula": "PmYB4", "functional": "PBE", "state": "relaxed", "lattice_angstrom": [[3.315, 0.000, 0.000], [-1.658, 2.871, 0.000], [0.000, 0.000, 7.944]], "species": ["Pm", "Y", "B", "B", "B", "B"], "frac_coords": [[0.000, 0.000, 0.000], [0.000, 0.000, 0.500], [0.333, 0.667, 0.259], [0.333, 0.667, 0.741], [0.667, 0.333, 0.259], [0.667, 0.333, 0.741]], "e_above_lowest_polymorph_mev_per_atom": 0, "magnetic_moment_mub_per_cell": 0.0}



Record 8
{"formula": "LiNbSi2O6", "functional": "PBE", "state": "relaxed", "lattice_angstrom": [[4.990, -4.389, 0.000], [4.990, 4.389, 0.000], [-1.594, 0.000, 4.941]], "species": ["Li", "Li", "Nb", "Nb", "Si", "Si", "Si", "Si", "O", "O", "O", "O", "O", "O", "O", "O", "O", "O", "O", "O"], "frac_coords": [[0.224, 0.776, 0.750], [0.776, 0.224, 0.250], [0.430, 0.570, 0.250], [0.570, 0.430, 0.750], [0.096, 0.289, 0.722], [0.289, 0.096, 0.222], [0.711, 0.904, 0.778], [0.904, 0.711, 0.278], [0.133, 0.142, 0.944], [0.141, 0.622, 0.351], [0.142, 0.133, 0.444], [0.261, 0.468, 0.829], [0.378, 0.859, 0.149], [0.468, 0.261, 0.329], [0.532, 0.739, 0.671], [0.622, 0.141, 0.851], [0.739, 0.532, 0.171], [0.858, 0.867, 0.556], [0.859, 0.378, 0.649], [0.867, 0.858, 0.056]], "magnetic_moment_mub_per_cell": 0.0}



Record 9
{"formula": "Zn4B3", "functional": "PBE", "state": "relaxed", "lattice_angstrom": [[3.282, -3.299, 0.000], [3.282, 3.299, 0.000], [-2.485, 0.000, 8.502]], "species": ["Zn", "Zn", "Zn", "Zn", "Zn", "Zn", "Zn", "Zn", "B", "B", "B", "B", "B", "B"], "frac_coords": [[0.182, 0.717, 0.530], [0.234, 0.343, 0.724], [0.283, 0.818, 0.970], [0.343, 0.234, 0.224], [0.657, 0.766, 0.776], [0.717, 0.182, 0.030], [0.766, 0.657, 0.276], [0.818, 0.283, 0.470], [0.049, 0.537, 0.099], [0.243, 0.757, 0.250], [0.463, 0.951, 0.401], [0.537, 0.049, 0.599], [0.757, 0.243, 0.750], [0.951, 0.463, 0.901]], "e_above_lowest_polymorph_mev_per_atom": 27}



Record 10
{"formula": "YCo2Cu", "functional": "PBE", "state": "relaxed", "lattice_angstrom": [[6.266, 0.000, 0.000], [0.000, 6.266, 0.000], [0.000, 0.000, 6.266]], "species": ["Y", "Y", "Y", "Y", "Co", "Co", "Co", "Co", "Co", "Co", "Co", "Co", "Cu", "Cu", "Cu", "Cu"], "frac_coords": [[0.000, 0.000, 0.000], [0.000, 0.500, 0.500], [0.500, 0.000, 0.500], [0.500, 0.500, 0.000], [0.000, 0.000, 0.500], [0.000, 0.500, 0.000], [0.250, 0.250, 0.750], [0.250, 0.750, 0.250], [0.500, 0.000, 0.000], [0.500, 0.500, 0.500], [0.750, 0.250, 0.250], [0.750, 0.750, 0.750], [0.250, 0.250, 0.250], [0.250, 0.750, 0.750], [0.750, 0.250, 0.750], [0.750, 0.750, 0.250]], "e_form_mev_per_atom": 171, "magnetic_moment_mub_per_cell": 10.9}



Record 11
{"formula": "ZnSnPN", "functional": "PBE", "state": "relaxed", "lattice_angstrom": [[5.214, 0.000, 0.000], [0.000, 5.277, 0.000], [0.000, 0.000, 10.450]], "species": ["Zn", "Zn", "Zn", "Zn", "Sn", "Sn", "Sn", "Sn", "P", "P", "P", "P", "N", "N", "N", "N"], "frac_coords": [[0.000, 0.250, 0.096], [0.000, 0.750, 0.404], [0.500, 0.250, 0.904], [0.500, 0.750, 0.596], [0.000, 0.250, 0.611], [0.000, 0.750, 0.889], [0.500, 0.250, 0.389], [0.500, 0.750, 0.111], [0.213, 0.500, 0.250], [0.287, 0.500, 0.750], [0.713, 0.000, 0.750], [0.787, 0.000, 0.250], [0.250, 0.007, 0.500], [0.250, 0.993, 0.000], [0.750, 0.493, 0.500], [0.750, 0.507, 0.000]], "e_above_lowest_polymorph_mev_per_atom": 66}



Record 12
{"formula": "FeGe3", "functional": "PBE", "state": "relaxed", "lattice_angstrom": [[5.633, 0.000, 0.000], [-2.816, 4.878, 0.000], [0.000, 0.000, 4.818]], "species": ["Fe", "Fe", "Ge", "Ge", "Ge", "Ge", "Ge", "Ge"], "frac_coords": [[0.333, 0.667, 0.250], [0.667, 0.333, 0.750], [0.174, 0.348, 0.750], [0.174, 0.826, 0.750], [0.348, 0.174, 0.250], [0.652, 0.826, 0.750], [0.826, 0.174, 0.250], [0.826, 0.652, 0.250]], "magnetic_moment_mub_per_cell": 4.6}



| no. | final energy (eV/atom) |
| --- | --- |
| 1 | -6.61 |
| 2 | -9.01 |
| 3 | -5.83 |
| 4 | -4.25 |
| 5 | -6.21 |
| 6 | -3.98 |
| 7 | -6.78 |
| 8 | -7.76 |
| 9 | -3.27 |
| 10 | -5.93 |
| 11 | -4.67 |
| 12 | -5.12 |